CaLa4Ge2 | Alexandria via LeMat-Bulk | PBE | relaxed; E = -4.080 eV/atom; ΔE_f = 2.38 eV/f.u.; Fermi-level density of states = 7.731 states/eV/f.u.; polymorph energy (0 for the lowest one) = 756.8 meV per atom
1.0
-3.049 4.101 1.611
1.290 -1.042 5.095
5.471 6.485 2.758
La Ca Ge
4 1 2
Direct
0.810 0.810 0.380
0.000 0.500 0.000
0.500 0.000 0.000
0.190 0.190 0.620
0.000 0.000 0.000
0.628 0.628 0.745
0.372 0.372 0.255